The following is a PBE calculation of a geometry-optimized Sm6Ge3P2Cl structure, from Alexandria via LeMat-Bulk.

Calculated values
Space-group type: C2/m, No. 12
Volume: 309.02 Å³ per cell
Density of states at the Fermi level: 5.50 states/eV/cell
Uncorrected formation energy: -14.3 eV/f.u.

Structure (POSCAR):
```
Sm6Ge3P2Cl
1.0
4.1506 0.0000 0.0000
0.0000 8.4063 0.2082
-2.0753 -2.5182 8.7944
Sm Ge P Cl
6 3 2 1
Direct
0.3310 0.9072 0.6619 Sm
0.6690 0.5768 0.3380 Sm
0.6690 0.0928 0.3381 Sm
0.0027 0.2636 0.0055 Sm
0.9973 0.7364 0.9945 Sm
0.3310 0.4232 0.6620 Sm
0.5000 0.5000 0.0000 Ge
0.8360 0.1657 0.6721 Ge
0.1640 0.8343 0.3279 Ge
0.8343 0.6688 0.6686 P
0.1657 0.3312 0.3314 P
0.5000 0.0000 0.0000 Cl
```